Version a
# NaPm2Sb

A relaxed structure of NaPm2Sb (GGA-PBE, the Alexandria database).

a = 11.5156 Å, b = 11.5156 Å, c = 11.5156 Å
α = 20.56°, β = 20.56°, γ = 20.56°
Closest atoms and distances in Å follow each position.
Element x y z (fractional)
Na  0.0000  0.0000  0.0000  2 Pm 3.72, 6 Na 4.11
Pm  0.1100  0.1100  0.1100  3 Sb 3.05
Pm  0.8900  0.8900  0.8900  3 Sb 3.05
Sb  0.5000  0.5000  0.5000  6 Pm 3.05

=====

Version b
# NaPm2Sb

A relaxed structure of NaPm2Sb (GGA-PBE, the Alexandria database).

a = 5.0953 Å, b = 5.0953 Å, c = 4.4397 Å
α = 90.00°, β = 90.00°, γ = 90.00°
Closest atoms and distances in Å follow each position.
Element x y z (fractional)
Na  0.0000  0.0000  0.0000  8 Pm 3.38, 4 Sb 3.60
Pm  0.0000  0.5000  0.5000  4 Na 3.38, 4 Sb 3.38, 4 Pm 3.60
Pm  0.5000  0.0000  0.5000  4 Na 3.38, 4 Sb 3.38, 4 Pm 3.60
Sb  0.5000  0.5000  0.0000  8 Pm 3.38, 4 Na 3.60

=====

Version c
# NaPm2Sb

A relaxed structure of NaPm2Sb (GGA-PBE, the Alexandria database).

a = 5.4310 Å, b = 5.4310 Å, c = 5.4310 Å
α = 60.00°, β = 60.00°, γ = 60.00°
Closest atoms and distances in Å follow each position.
Element x y z (fractional)
Na  0.0000  0.0000  0.0000  8 Pm 3.33
Pm  0.2500  0.2500  0.2500  4 Sb 3.33, 4 Na 3.33
Pm  0.7500  0.7500  0.7500  4 Sb 3.33, 4 Na 3.33
Sb  0.5000  0.5000  0.5000  8 Pm 3.33

=====

Version d
# NaPm2Sb

A relaxed structure of NaPm2Sb (GGA-PBE, the Alexandria database).

a = 4.0929 Å, b = 4.0929 Å, c = 7.2456 Å
α = 90.00°, β = 90.00°, γ = 90.00°
Closest atoms and distances in Å follow each position.
Element x y z (fractional)
Na  0.0000  0.0000  0.0000  8 Pm 3.50, 2 Sb 3.62
Pm  0.5000  0.5000  0.2727  1 Pm 3.29, 4 Sb 3.33, 4 Na 3.50
Pm  0.5000  0.5000  0.7273  1 Pm 3.29, 4 Sb 3.33, 4 Na 3.50
Sb  0.0000  0.0000  0.5000  8 Pm 3.33, 2 Na 3.62

=====

Which is most stable, and by how much? version b, by 58 meV per atom.

=====

Version a
# NaPmSb2

A relaxed structure of NaPmSb2 (GGA-PBE, the Alexandria database).

a = 5.0327 Å, b = 5.0327 Å, c = 4.3392 Å
α = 90.00°, β = 90.00°, γ = 90.00°
Closest atoms and distances in Å follow each position.
Element x y z (fractional)
Na  0.0000  0.0000  0.0000  8 Sb 3.32, 4 Pm 3.56
Pm  0.5000  0.5000  0.0000  8 Sb 3.32, 4 Na 3.56
Sb  0.0000  0.5000  0.5000  4 Pm 3.32, 4 Na 3.32, 4 Sb 3.56
Sb  0.5000  0.0000  0.5000  4 Pm 3.32, 4 Na 3.32, 4 Sb 3.56

=====

Version b
# NaPmSb2

A relaxed structure of NaPmSb2 (GGA-PBE, the Alexandria database).

a = 6.3366 Å, b = 6.3366 Å, c = 6.5277 Å
α = 90.00°, β = 90.00°, γ = 121.03°
Closest atoms and distances in Å follow each position.
Element x y z (fractional)
Na  0.2500  0.2500  0.0000  2 Na 3.12, 6 Sb 3.26-3.36
Na  0.7500  0.7500  0.0000  2 Na 3.12, 6 Sb 3.26-3.36
Pm  0.2500  0.7500  0.6780  8 Sb 3.22-3.37
Pm  0.7500  0.2500  0.3220  8 Sb 3.22-3.37
Sb  0.2500  0.2500  0.5000  2 Sb 3.12, 2 Na 3.26, 4 Pm 3.37
Sb  0.2500  0.7500  0.1716  4 Pm 3.22-3.31, 4 Na 3.36
Sb  0.7500  0.2500  0.8284  4 Pm 3.22-3.31, 4 Na 3.36
Sb  0.7500  0.7500  0.5000  2 Sb 3.12, 2 Na 3.26, 4 Pm 3.37

=====

Which is most stable, and by how much? version a, by 26 meV per atom.

=====

Version a
# NaPmSb2

A relaxed structure of NaPmSb2 (GGA-PBE, the Alexandria database).

a = 4.1130 Å, b = 4.1130 Å, c = 6.9163 Å
α = 90.00°, β = 90.00°, γ = 90.00°
Closest atoms and distances in Å follow each position.
Element x y z (fractional)
Na  0.0000  0.0000  0.0000  2 Pm 3.46, 8 Sb 3.46
Pm  0.0000  0.0000  0.5000  8 Sb 3.31, 2 Na 3.46
Sb  0.5000  0.5000  0.2715  1 Sb 3.16, 4 Pm 3.31, 4 Na 3.46
Sb  0.5000  0.5000  0.7285  1 Sb 3.16, 4 Pm 3.31, 4 Na 3.46

=====

Version b
# NaPmSb2

A relaxed structure of NaPmSb2 (GGA-PBE, the Alexandria database).

a = 5.4344 Å, b = 5.4344 Å, c = 5.4344 Å
α = 60.00°, β = 60.00°, γ = 60.00°
Closest atoms and distances in Å follow each position.
Element x y z (fractional)
Na  0.0000  0.0000  0.0000  8 Sb 3.33
Pm  0.5000  0.5000  0.5000  8 Sb 3.33
Sb  0.2500  0.2500  0.2500  4 Na 3.33, 4 Pm 3.33
Sb  0.7500  0.7500  0.7500  4 Na 3.33, 4 Pm 3.33

=====

Which is most stable, and by how much? version a, by 86 meV per atom.